(w)
RbPdCl after structural relaxation. Source: the Alexandria database, functional PBE-GGA.

Geometry as extended XYZ:
```
6
Lattice="4.647 0.000 0.000 1.677 4.335 0.000 1.783 1.271 9.302" Properties=species:S:1:pos:R:3 pbc="T T T"
Rb 0.000 0.000 0.000
Rb 1.838 1.254 3.781
Pd 3.168 3.455 6.553
Pd 5.599 5.121 6.544
Cl 4.081 2.797 1.894
Cl 5.421 2.774 6.527
```

Summary:
- Crystal system: triclinic
- Density: 4030 kg/m3



(x)
RbPdCl after structural relaxation. Source: the Alexandria database, functional PBE-GGA.

Geometry as extended XYZ:
```
12
Lattice="11.851 0.000 0.000 0.000 3.813 0.000 -2.507 0.000 7.634" Properties=species:S:1:pos:R:3 pbc="T T T"
Rb 0.000 0.000 0.000
Rb 0.340 1.907 4.159
Rb 5.926 1.907 0.000
Rb 6.265 0.000 4.159
Pd 2.784 1.907 0.921
Pd 2.981 0.000 2.704
Pd 8.710 0.000 0.921
Pd 8.907 1.907 2.704
Cl 0.673 0.000 6.899
Cl 3.555 1.907 4.258
Cl 6.599 1.907 6.899
Cl 9.480 0.000 4.258
```

Summary:
- Crystal system: monoclinic
- Density: 4377 kg/m3



(y)
RbPdCl after structural relaxation. Source: the Alexandria database, functional PBE-GGA.

Geometry as extended XYZ:
```
6
Lattice="4.430 0.000 0.000 -2.215 3.836 0.000 0.000 0.000 9.503" Properties=species:S:1:pos:R:3 pbc="T T T"
Rb 0.000 0.000 0.000
Rb 0.000 0.000 4.751
Pd 0.000 2.558 2.376
Pd 2.215 1.279 7.127
Cl 0.000 2.558 7.127
Cl 2.215 1.279 2.376
```

Summary:
- Crystal system: hexagonal
- Density: 4675 kg/m3



(z)
RbPdCl after structural relaxation. Source: the Alexandria database, functional PBE-GGA.

Geometry as extended XYZ:
```
12
Lattice="16.220 0.000 0.000 0.000 5.041 0.000 -0.817 0.000 4.799" Properties=species:S:1:pos:R:3 pbc="T T T"
Rb 0.000 0.000 0.000
Rb 3.732 2.520 0.154
Rb 8.110 2.520 0.000
Rb 11.842 0.000 0.154
Pd 4.375 0.000 2.664
Pd 5.994 0.000 0.381
Pd 12.485 2.520 2.664
Pd 14.104 2.520 0.381
Cl 2.021 0.000 2.708
Cl 6.683 0.000 2.690
Cl 10.132 2.520 2.708
Cl 14.793 2.520 2.690
```

Summary:
- Crystal system: monoclinic
- Density: 3849 kg/m3



Which of them is most stable, and which least? Most stable: (w); least stable: (y).